Entry from the Open Quantum Materials Database: a relaxed structure of Zr3Zn3NiAu2 (PBE).

a b c (Å): 7.3186 7.3186 3.4256
angles (deg): 90.00 90.00 120.00
Closest atoms and distances in Å follow each position.
Sites, in units of the cell vectors:
Zr (0.0000, 0.3744, 0.0000)  1 Ni 2.74, 4 Au 2.87, 4 Zn 2.98
Zr (0.3744, 0.0000, 0.0000)  1 Ni 2.74, 4 Au 2.87, 4 Zn 2.98
Zr (0.6256, 0.6256, 0.0000)  1 Ni 2.74, 4 Au 2.87, 4 Zn 2.98
Zn (0.0000, 0.7389, 0.5000)  2 Ni 2.57, 2 Au 2.74
Zn (0.2611, 0.2611, 0.5000)  2 Ni 2.57, 2 Au 2.74
Zn (0.7389, 0.0000, 0.5000)  2 Ni 2.57, 2 Au 2.74
Ni (0.0000, 0.0000, 0.0000)  6 Zn 2.57, 3 Zr 2.74
Au (0.3333, 0.6667, 0.5000)  3 Zn 2.74, 6 Zr 2.87
Au (0.6667, 0.3333, 0.5000)  3 Zn 2.74, 6 Zr 2.87

Calculated values
Formation energy: -0.422 eV per atom
V: 158.90 Å³ per cell
Size of the total moment: 0.02 μB/atom
Energy: -0.3702 Ry per atom

=====

Entry from the Open Quantum Materials Database: a relaxed structure of Zr3Zn3Ni2Au (PBE).

a b c (Å): 7.0994 7.0994 3.4468
angles (deg): 90.00 90.00 120.00
Closest atoms and distances in Å follow each position.
Sites, in units of the cell vectors:
Zr (0.0000, 0.4080, 0.0000)  4 Ni 2.76, 2 Zn 2.81, 1 Au 2.90
Zr (0.4080, 0.0000, 0.0000)  4 Ni 2.76, 2 Zn 2.81, 1 Au 2.90
Zr (0.5920, 0.5920, 0.0000)  4 Ni 2.76, 2 Zn 2.81, 1 Au 2.90
Zn (0.0000, 0.7209, 0.5000)  2 Ni 2.58, 2 Au 2.63, 2 Zr 2.81
Zn (0.2791, 0.2791, 0.5000)  2 Ni 2.58, 2 Au 2.63, 2 Zr 2.81
Zn (0.7209, 0.0000, 0.5000)  2 Ni 2.58, 2 Au 2.63, 2 Zr 2.81
Ni (0.3333, 0.6667, 0.5000)  3 Zn 2.58, 6 Zr 2.76
Ni (0.6667, 0.3333, 0.5000)  3 Zn 2.58, 6 Zr 2.76
Au (0.0000, 0.0000, 0.0000)  6 Zn 2.63, 3 Zr 2.90

Calculated values
Formation energy: -0.443 eV per atom
V: 150.45 Å³ per cell
Size of the total moment: 0.00 μB/atom
Energy: -0.3905 Ry per atom

=====

Entry from the Open Quantum Materials Database: a relaxed structure of NpAu (PBE).

a b c (Å): 4.6285 4.6285 4.6285
angles (deg): 60.00 60.00 60.00
Closest atoms and distances in Å follow each position.
Sites, in units of the cell vectors:
Np (0.0000, 0.0000, 0.0000)  4 Au 2.83
Au (0.2500, 0.2500, 0.2500)  4 Np 2.83

Calculated values
Formation energy: 0.774 eV per atom
V: 70.11 Å³ per cell
Size of the total moment: 2.27 μB/atom
Energy: -0.5324 Ry per atom

=====

Entry from the Open Quantum Materials Database: a relaxed structure of NpAu (PBE).

a b c (Å): 2.9160 2.9160 5.4982
angles (deg): 90.00 90.00 120.00
Closest atoms and distances in Å follow each position.
Sites, in units of the cell vectors:
Np (0.0000, 0.0000, 0.0000)  6 Np 2.92, 6 Au 3.22
Au (0.3333, 0.6667, 0.5000)  6 Au 2.92, 6 Np 3.22

Calculated values
Formation energy: -0.022 eV per atom
V: 40.49 Å³ per cell
Size of the total moment: 1.74 μB/atom
Energy: -0.5910 Ry per atom